(1)
B after structural relaxation. Source: the Alexandria database, functional PBE.

SG: No. 217
Polymorph energy (0 for the lowest one), meV per atom: 726.4
Density of states at the Fermi level, states/eV/cell: 7.665
Volume, Å³ per cell: 145
ΔE_f, kJ/mol of atoms: 70.1

Cell: 5.2502 5.2502 5.2502 Å, 90.00 90.00 90.00°
Closest atoms and distances in Å follow each position.
Positions (direct):
B  0.1303  0.1303  0.8697  4 B 1.60-1.76
B  0.1303  0.8697  0.1303  4 B 1.60-1.76
B  0.1936  0.1936  0.1936  4 B 1.60-1.76
B  0.1936  0.8064  0.8064  4 B 1.60-1.76
B  0.3064  0.3064  0.6936  4 B 1.60-1.76
B  0.3064  0.6936  0.3064  4 B 1.60-1.76
B  0.3697  0.3697  0.3697  4 B 1.60-1.76
B  0.3697  0.6303  0.6303  4 B 1.60-1.76
B  0.6303  0.3697  0.6303  4 B 1.60-1.76
B  0.6303  0.6303  0.3697  4 B 1.60-1.76
B  0.6936  0.3064  0.3064  4 B 1.60-1.76
B  0.6936  0.6936  0.6936  4 B 1.60-1.76
B  0.8064  0.1936  0.8064  4 B 1.60-1.76
B  0.8064  0.8064  0.1936  4 B 1.60-1.76
B  0.8697  0.1303  0.1303  4 B 1.60-1.76
B  0.8697  0.8697  0.8697  4 B 1.60-1.76

(2)
YHfCuS4 after structural relaxation. Source: the Alexandria database, functional PBE.

SG: No. 74
Density of states at the Fermi level, states/eV/cell: 0.407
Volume, Å³ per cell: 305
Formation energy (no corrections), eV/atom: -1.454

Cell: 7.5610 7.5610 7.5610 Å, 120.99 119.37 89.69°
Closest atoms and distances in Å follow each position.
Positions (direct):
Y  0.0000  0.0000  0.0000  6 S 2.70-2.74
Y  0.5000  0.0000  0.5000  6 S 2.70-2.74
Hf  0.5000  0.0000  0.0000  6 S 2.54-2.59
Hf  0.5000  0.5000  0.5000  6 S 2.54-2.59
Cu  0.1281  0.3781  0.7500  4 S 2.32-2.41
Cu  0.8719  0.6219  0.2500  4 S 2.32-2.41
S  0.2593  0.7448  0.5145  1 Cu 2.41, 2 Hf 2.59
S  0.2629  0.2691  0.5061  1 Cu 2.32, 1 Hf 2.54
S  0.2629  0.7568  0.9939  1 Cu 2.32, 1 Hf 2.54
S  0.2697  0.2552  0.0145  1 Cu 2.41, 2 Hf 2.59
S  0.7303  0.7448  0.9855  1 Cu 2.41, 2 Hf 2.59
S  0.7371  0.2432  0.0061  1 Cu 2.32, 1 Hf 2.54
S  0.7371  0.7309  0.4939  1 Cu 2.32, 1 Hf 2.54
S  0.7407  0.2552  0.4855  1 Cu 2.41, 2 Hf 2.59

(3)
Y2CoHRu after structural relaxation. Source: the Alexandria database, functional PBE.

SG: No. 123
Polymorph energy (0 for the lowest one), meV per atom: 50.2
Density of states at the Fermi level, states/eV/cell: 3.440
Volume, Å³ per cell: 82

Cell: 4.8008 4.8008 3.5426 Å, 90.00 90.00 90.00°
Closest atoms and distances in Å follow each position.
Positions (direct):
Y  0.0000  0.5000  0.0000  2 H 2.40
Y  0.5000  0.0000  0.0000  2 H 2.40
Co  0.0000  0.0000  0.5000  8 Y 2.98
H  0.5000  0.5000  0.0000  2 Ru 1.77
Ru  0.5000  0.5000  0.5000  2 H 1.77

(4)
SiAgPtF2 after structural relaxation. Source: the Alexandria database, functional PBE.

SG: No. 123
Density of states at the Fermi level, states/eV/cell: 3.565
Volume, Å³ per cell: 93
Formation energy (no corrections), eV/atom: -0.148

Cell: 3.9167 3.9167 6.0895 Å, 90.00 90.00 90.00°
Closest atoms and distances in Å follow each position.
Positions (direct):
Si  0.0000  0.0000  0.0000  4 Pt 2.77, 2 Ag 3.04
Ag  0.0000  0.0000  0.5000  4 F 1.96
Pt  0.5000  0.5000  0.0000  4 Si 2.77
F  0.0000  0.5000  0.5000  2 Ag 1.96
F  0.5000  0.0000  0.5000  2 Ag 1.96

(5)
La2Nd5Tl4 after structural relaxation. Source: the Alexandria database, functional PBE.

SG: No. 10
Polymorph energy (0 for the lowest one), meV per atom: 0.0
Density of states at the Fermi level, states/eV/cell: 13.411
Volume, Å³ per cell: 343
ΔE_f, kJ/mol of atoms: -20.9

Cell: 8.8760 3.5772 10.8704 Å, 90.00 95.81 90.00°
Closest atoms and distances in Å follow each position.
Positions (direct):
La  0.0812  0.0000  0.1350  1 La 3.14, 6 Tl 3.33-3.46, 2 Nd 3.35-3.41
La  0.9188  0.0000  0.8650  1 La 3.14, 6 Tl 3.33-3.46, 2 Nd 3.35-3.41
Nd  0.1612  0.0000  0.6411  6 Tl 3.37-3.67, 1 La 3.41, 4 Nd 3.51-3.77
Nd  0.4605  0.0000  0.1667  4 Tl 3.32-3.58, 1 La 3.35, 3 Nd 3.58-3.60
Nd  0.5000  0.0000  0.5000  4 Tl 3.34, 6 Nd 3.51-3.60
Nd  0.5395  0.0000  0.8333  4 Tl 3.32-3.58, 1 La 3.35, 3 Nd 3.58-3.60
Nd  0.8388  0.0000  0.3589  6 Tl 3.37-3.67, 1 La 3.41, 4 Nd 3.51-3.77
Tl  0.2014  0.5000  0.3838  2 La 3.33, 6 Nd 3.34-3.67, 2 Tl 3.58
Tl  0.2532  0.5000  0.9187  6 Nd 3.32-3.58, 4 La 3.43-3.46, 2 Tl 3.58
Tl  0.7468  0.5000  0.0813  6 Nd 3.32-3.58, 4 La 3.43-3.46, 2 Tl 3.58
Tl  0.7986  0.5000  0.6162  2 La 3.33, 6 Nd 3.34-3.67, 2 Tl 3.58

(6)
CsSb2Pt3 after structural relaxation. Source: the Alexandria database, functional PBE.

SG: No. 12
Density of states at the Fermi level, states/eV/cell: 4.610
Volume, Å³ per cell: 318
Formation energy (no corrections), eV/atom: -0.401

Cell: 8.0127 8.0127 10.3273 Å, 109.24 109.24 30.67°
Closest atoms and distances in Å follow each position.
Positions (direct):
Cs  0.1383  0.1383  0.0385  7 Sb 3.75-3.91, 1 Cs 4.07
Cs  0.8617  0.8617  0.9615  7 Sb 3.75-3.91, 1 Cs 4.07
Sb  0.1916  0.1916  0.6944  4 Pt 2.63-2.90
Sb  0.4660  0.4660  0.7498  4 Pt 2.63-2.66
Sb  0.5340  0.5340  0.2502  4 Pt 2.63-2.66
Sb  0.8084  0.8084  0.3056  4 Pt 2.63-2.90
Pt  0.0603  0.0603  0.4155  3 Sb 2.66-2.90, 5 Pt 2.91-2.96
Pt  0.3046  0.3046  0.5501  2 Sb 2.64-2.66, 5 Pt 2.69-2.91
Pt  0.4141  0.4141  0.3796  3 Sb 2.63, 3 Pt 2.83-2.92
Pt  0.5859  0.5859  0.6204  3 Sb 2.63, 3 Pt 2.83-2.92
Pt  0.6954  0.6954  0.4499  2 Sb 2.64-2.66, 5 Pt 2.69-2.91
Pt  0.9397  0.9397  0.5845  3 Sb 2.66-2.90, 5 Pt 2.91-2.96

(7)
BaCa2Cd2Sn2 after structural relaxation. Source: the Alexandria database, functional PBE.

SG: No. 166
Density of states at the Fermi level, states/eV/cell: 1.677
Volume, Å³ per cell: 218
ΔE_f, kJ/mol of atoms: -48.0

Cell: 10.0271 10.0271 10.0271 Å, 29.62 29.62 29.62°
Closest atoms and distances in Å follow each position.
Positions (direct):
Ba  0.0000  0.0000  0.0000  6 Sn 3.72, 2 Ca 3.96
Ca  0.1376  0.1376  0.1376  3 Cd 3.07, 4 Sn 3.37-3.41, 3 Ca 3.40
Ca  0.8624  0.8624  0.8624  3 Cd 3.07, 4 Sn 3.37-3.41, 3 Ca 3.40
Cd  0.4422  0.4422  0.4422  3 Ca 3.07, 3 Sn 3.09, 1 Cd 3.32
Cd  0.5578  0.5578  0.5578  3 Ca 3.07, 3 Sn 3.09, 1 Cd 3.32
Sn  0.2549  0.2549  0.2549  3 Cd 3.09, 4 Ca 3.37-3.41
Sn  0.7451  0.7451  0.7451  3 Cd 3.09, 4 Ca 3.37-3.41

(8)
Pm4Np3Se8 after structural relaxation. Source: the Alexandria database, functional PBE.

SG: No. 12
Density of states at the Fermi level, states/eV/cell: 31.675
Volume, Å³ per cell: 403
Formation energy (no corrections), eV/atom: -1.550

Cell: 8.2889 8.2889 8.2806 Å, 119.95 119.95 90.02°
Closest atoms and distances in Å follow each position.
Positions (direct):
Pm  0.0000  0.0000  0.0000  6 Se 2.98
Pm  0.0000  0.5000  0.0000  6 Se 2.93
Pm  0.5000  0.0000  0.0000  6 Se 2.93
Pm  0.5000  0.5000  0.5000  6 Se 2.95-2.96
Np  0.0000  0.0000  0.5000  6 Se 2.90-2.92
Np  0.0000  0.5000  0.5000  6 Se 2.93
Np  0.5000  0.0000  0.5000  6 Se 2.93
Se  0.2474  0.7526  0.5000  3 Np 2.90-2.93, 3 Pm 2.93-2.96
Se  0.2515  0.2515  0.5081  3 Np 2.90-2.93, 2 Pm 2.96-2.98
Se  0.2529  0.2529  0.9972  1 Np 2.92, 4 Pm 2.93-2.98
Se  0.2541  0.7459  0.0000  3 Pm 2.93-2.98, 2 Np 2.93
Se  0.7459  0.2541  0.0000  3 Pm 2.93-2.98, 2 Np 2.93
Se  0.7471  0.7471  0.0028  1 Np 2.92, 4 Pm 2.93-2.98
Se  0.7485  0.7485  0.4919  3 Np 2.90-2.93, 2 Pm 2.96-2.98
Se  0.7526  0.2474  0.5000  3 Np 2.90-2.93, 3 Pm 2.93-2.96

(9)
Cs2Rb2P3 after structural relaxation. Source: the Alexandria database, functional PBE.

SG: No. 12
Density of states at the Fermi level, states/eV/cell: 6.979
Volume, Å³ per cell: 496
ΔE_f, kJ/mol of atoms: -13.6

Cell: 14.0443 5.2530 7.4176 Å, 90.00 115.04 90.00°
Closest atoms and distances in Å follow each position.
Positions (direct):
Cs  0.1226  0.0000  0.2918  6 P 3.50-3.81, 2 Rb 3.53-3.78
Cs  0.3774  0.5000  0.7082  6 P 3.50-3.81, 2 Rb 3.53-3.78
Cs  0.6226  0.5000  0.2918  6 P 3.50-3.81, 2 Rb 3.53-3.78
Cs  0.8774  0.0000  0.7082  6 P 3.50-3.81, 2 Rb 3.53-3.78
Rb  0.1626  0.0000  0.7948  5 P 3.39-3.63, 2 Cs 3.53-3.78
Rb  0.3374  0.5000  0.2052  5 P 3.39-3.63, 2 Cs 3.53-3.78
Rb  0.6626  0.5000  0.7948  5 P 3.39-3.63, 2 Cs 3.53-3.78
Rb  0.8374  0.0000  0.2052  5 P 3.39-3.63, 2 Cs 3.53-3.78
P  0.0000  0.5000  0.5000  2 P 2.94
P  0.0537  0.5000  0.9286  1 P 2.18
P  0.4463  0.0000  0.0714  1 P 2.18
P  0.5000  0.0000  0.5000  2 P 2.94
P  0.5537  0.0000  0.9286  1 P 2.18
P  0.9463  0.5000  0.0714  1 P 2.18

(10)
CaLaMn2Tc after structural relaxation. Source: the Alexandria database, functional PBE.

SG: No. 123
Density of states at the Fermi level, states/eV/cell: 8.770
Volume, Å³ per cell: 98
ΔE_f, kJ/mol of atoms: 217.9

Cell: 4.3274 4.3274 5.2594 Å, 90.00 90.00 90.00°
Closest atoms and distances in Å follow each position.
Positions (direct):
Ca  0.0000  0.0000  0.0000  4 Mn 2.16
La  0.0000  0.0000  0.5000  2 Ca 2.63
Mn  0.0000  0.5000  0.0000  2 Ca 2.16
Mn  0.5000  0.0000  0.0000  2 Ca 2.16
Tc  0.5000  0.5000  0.5000  4 La 3.06, 8 Mn 3.41